Model i:
Material: TiBeTl2
Method: DFT, PBE
State: relaxed

The structure in CIF format:
```
data_TiBeTl2
_chemical_formula_sum 'Ti4 Be4 Tl8'
_space_group_name_H-M_alt 'I -4 2 d'
_space_group_IT_number 122
_space_group_name_Hall 'I -4 2bw'
_cell_length_a 7.3909
_cell_length_b 7.3909
_cell_length_c 5.8549
_cell_angle_alpha 90.00
_cell_angle_beta 90.00
_cell_angle_gamma 90.00
loop_
_atom_site_label
_atom_site_type_symbol
_atom_site_fract_x
_atom_site_fract_y
_atom_site_fract_z
Ti1 Ti 0.0000 0.0000 0.0000
Be1 Be 0.0000 0.0000 0.5000
Tl1 Tl 0.2045 0.7500 0.6250
```

***

Model ii:
Material: TiBeTl2
Method: DFT, PBE
State: relaxed

The structure in CIF format:
```
data_TiBeTl2
_chemical_formula_sum 'Ti4 Be4 Tl8'
_space_group_name_H-M_alt 'F m -3 m'
_space_group_IT_number 225
_space_group_name_Hall '-F 4 2 3'
_cell_length_a 6.8519
_cell_length_b 6.8519
_cell_length_c 6.8519
_cell_angle_alpha 90.00
_cell_angle_beta 90.00
_cell_angle_gamma 90.00
loop_
_atom_site_label
_atom_site_type_symbol
_atom_site_fract_x
_atom_site_fract_y
_atom_site_fract_z
Ti1 Ti 0.0000 0.0000 0.0000
Be1 Be 0.0000 0.0000 0.5000
Tl1 Tl 0.2500 0.2500 0.2500
```

***

Most stable: model i